No. 1
# GGA-PBE PaGaTc, relaxed
data_PaGaTc
_symmetry_space_group_name_H-M 'F -4 3 m'
_symmetry_Int_Tables_number 216
_symmetry_space_group_name_Hall 'F -4 2 3'
_cell_length_a 6.342
_cell_length_b 6.342
_cell_length_c 6.342
_cell_angle_alpha 90.00
_cell_angle_beta 90.00
_cell_angle_gamma 90.00
loop_
_atom_site_label
_atom_site_fract_x
_atom_site_fract_y
_atom_site_fract_z
_atom_site_occupancy
Pa1 0.000 0.000 0.000 1
Ga1 0.250 0.250 0.250 1
Tc1 0.000 0.000 0.500 1
# Magnetic moment (μB/cell): 0.0
# E_tot (eV/atom): -7.327

=====

No. 2
# GGA-PBE PaGaW, relaxed
data_PaGaW
_symmetry_space_group_name_H-M 'F -4 3 m'
_symmetry_Int_Tables_number 216
_symmetry_space_group_name_Hall 'F -4 2 3'
_cell_length_a 6.410
_cell_length_b 6.410
_cell_length_c 6.410
_cell_angle_alpha 90.00
_cell_angle_beta 90.00
_cell_angle_gamma 90.00
loop_
_atom_site_label
_atom_site_fract_x
_atom_site_fract_y
_atom_site_fract_z
_atom_site_occupancy
Pa1 0.000 0.000 0.000 1
Ga1 0.000 0.000 0.500 1
W1 0.250 0.250 0.250 1
# Magnetic moment (μB/cell): 0.0
# E_tot (eV/atom): -8.092

=====

No. 3
# GGA-PBE YPaGa, relaxed
data_YPaGa
_symmetry_space_group_name_H-M 'F -4 3 m'
_symmetry_Int_Tables_number 216
_symmetry_space_group_name_Hall 'F -4 2 3'
_cell_length_a 6.871
_cell_length_b 6.871
_cell_length_c 6.871
_cell_angle_alpha 90.00
_cell_angle_beta 90.00
_cell_angle_gamma 90.00
loop_
_atom_site_label
_atom_site_fract_x
_atom_site_fract_y
_atom_site_fract_z
_atom_site_occupancy
Y1 0.000 0.000 0.000 1
Pa1 0.000 0.000 0.500 1
Ga1 0.250 0.250 0.750 1
# Magnetic moment (μB/cell): 0.2
# E_tot (eV/atom): -6.172

=====

No. 4
# GGA-PBE PaZnGa, relaxed
data_PaZnGa
_symmetry_space_group_name_H-M 'F -4 3 m'
_symmetry_Int_Tables_number 216
_symmetry_space_group_name_Hall 'F -4 2 3'
_cell_length_a 6.403
_cell_length_b 6.403
_cell_length_c 6.403
_cell_angle_alpha 90.00
_cell_angle_beta 90.00
_cell_angle_gamma 90.00
loop_
_atom_site_label
_atom_site_fract_x
_atom_site_fract_y
_atom_site_fract_z
_atom_site_occupancy
Pa1 0.000 0.000 0.000 1
Zn1 0.250 0.250 0.750 1
Ga1 0.000 0.000 0.500 1
# Magnetic moment (μB/cell): 0.1
# E_tot (eV/atom): -4.511

=====

No. 5
# GGA-PBE PaZnGa, relaxed
data_PaZnGa
_symmetry_space_group_name_H-M 'F -4 3 m'
_symmetry_Int_Tables_number 216
_symmetry_space_group_name_Hall 'F -4 2 3'
_cell_length_a 6.684
_cell_length_b 6.684
_cell_length_c 6.684
_cell_angle_alpha 90.00
_cell_angle_beta 90.00
_cell_angle_gamma 90.00
loop_
_atom_site_label
_atom_site_fract_x
_atom_site_fract_y
_atom_site_fract_z
_atom_site_occupancy
Pa1 0.000 0.000 0.000 1
Zn1 0.250 0.250 0.250 1
Ga1 0.250 0.250 0.750 1
# Magnetic moment (μB/cell): 0.0
# E_tot (eV/atom): -4.167

=====

No. 6
# GGA-PBE ZrPaGa, relaxed
data_ZrPaGa
_symmetry_space_group_name_H-M 'F -4 3 m'
_symmetry_Int_Tables_number 216
_symmetry_space_group_name_Hall 'F -4 2 3'
_cell_length_a 6.665
_cell_length_b 6.665
_cell_length_c 6.665
_cell_angle_alpha 90.00
_cell_angle_beta 90.00
_cell_angle_gamma 90.00
loop_
_atom_site_label
_atom_site_fract_x
_atom_site_fract_y
_atom_site_fract_z
_atom_site_occupancy
Zr1 0.000 0.000 0.000 1
Pa1 0.000 0.000 0.500 1
Ga1 0.250 0.250 0.750 1
# Magnetic moment (μB/cell): 2.5
# E_tot (eV/atom): -6.860

=====

No. 7
# GGA-PBE ZrPaGa, relaxed
data_ZrPaGa
_symmetry_space_group_name_H-M 'F -4 3 m'
_symmetry_Int_Tables_number 216
_symmetry_space_group_name_Hall 'F -4 2 3'
_cell_length_a 6.808
_cell_length_b 6.808
_cell_length_c 6.808
_cell_angle_alpha 90.00
_cell_angle_beta 90.00
_cell_angle_gamma 90.00
loop_
_atom_site_label
_atom_site_fract_x
_atom_site_fract_y
_atom_site_fract_z
_atom_site_occupancy
Zr1 0.000 0.000 0.000 1
Pa1 0.250 0.250 0.750 1
Ga1 0.000 0.000 0.500 1
# Magnetic moment (μB/cell): 8.2
# E_tot (eV/atom): -6.169

=====

No. 8
# GGA-PBE GaPdPb, relaxed
data_GaPdPb
_symmetry_space_group_name_H-M 'F -4 3 m'
_symmetry_Int_Tables_number 216
_symmetry_space_group_name_Hall 'F -4 2 3'
_cell_length_a 6.620
_cell_length_b 6.620
_cell_length_c 6.620
_cell_angle_alpha 90.00
_cell_angle_beta 90.00
_cell_angle_gamma 90.00
loop_
_atom_site_label
_atom_site_fract_x
_atom_site_fract_y
_atom_site_fract_z
_atom_site_occupancy
Ga1 0.000 0.000 0.000 1
Pd1 0.000 0.000 0.500 1
Pb1 0.250 0.250 0.250 1
# E_tot (eV/atom): -3.870

=====

No. 9
# GGA-PBE GaPd2Pb, relaxed
data_GaPd2Pb
_symmetry_space_group_name_H-M 'I 4/m m m'
_symmetry_Int_Tables_number 139
_symmetry_space_group_name_Hall '-I 4 2'
_cell_length_a 4.697
_cell_length_b 4.697
_cell_length_c 6.631
_cell_angle_alpha 90.00
_cell_angle_beta 90.00
_cell_angle_gamma 90.00
loop_
_atom_site_label
_atom_site_fract_x
_atom_site_fract_y
_atom_site_fract_z
_atom_site_occupancy
Ga1 0.000 0.000 0.000 1
Pd1 0.000 0.500 0.250 1
Pb1 0.000 0.000 0.500 1
# E_tot (eV/atom): -4.531

=====

No. 10
# GGA-PBE PmGaPb, relaxed
data_PmGaPb
_symmetry_space_group_name_H-M 'F -4 3 m'
_symmetry_Int_Tables_number 216
_symmetry_space_group_name_Hall 'F -4 2 3'
_cell_length_a 7.233
_cell_length_b 7.233
_cell_length_c 7.233
_cell_angle_alpha 90.00
_cell_angle_beta 90.00
_cell_angle_gamma 90.00
loop_
_atom_site_label
_atom_site_fract_x
_atom_site_fract_y
_atom_site_fract_z
_atom_site_occupancy
Pm1 0.000 0.000 0.000 1
Ga1 0.250 0.250 0.750 1
Pb1 0.250 0.250 0.250 1
# Magnetic moment (μB/cell): 0.0
# E_tot (eV/atom): -3.928

=====

No. 11
# GGA-PBE Pm5Ga2Pb, relaxed
data_Pm5Ga2Pb
_symmetry_space_group_name_H-M 'I 4/m c m'
_symmetry_Int_Tables_number 140
_symmetry_space_group_name_Hall '-I 4 2c'
_cell_length_a 8.070
_cell_length_b 8.070
_cell_length_c 14.332
_cell_angle_alpha 90.00
_cell_angle_beta 90.00
_cell_angle_gamma 90.00
loop_
_atom_site_label
_atom_site_fract_x
_atom_site_fract_y
_atom_site_fract_z
_atom_site_occupancy
Pm1 0.000 0.000 0.000 1
Pm2 0.166 0.334 0.144 1
Ga1 0.126 0.374 0.500 1
Pb1 0.000 0.000 0.250 1
# Magnetic moment (μB/cell): 0.4
# E_tot (eV/atom): -4.683

=====

No. 12
# GGA-PBE PmGaPb, relaxed
data_PmGaPb
_symmetry_space_group_name_H-M 'F -4 3 m'
_symmetry_Int_Tables_number 216
_symmetry_space_group_name_Hall 'F -4 2 3'
_cell_length_a 7.025
_cell_length_b 7.025
_cell_length_c 7.025
_cell_angle_alpha 90.00
_cell_angle_beta 90.00
_cell_angle_gamma 90.00
loop_
_atom_site_label
_atom_site_fract_x
_atom_site_fract_y
_atom_site_fract_z
_atom_site_occupancy
Pm1 0.000 0.000 0.000 1
Ga1 0.250 0.250 0.750 1
Pb1 0.000 0.000 0.500 1
# Magnetic moment (μB/cell): 0.0
# E_tot (eV/atom): -4.090

=====

No. 13
# GGA-PBE Pr5Ga2Pb, relaxed
data_Pr5Ga2Pb
_symmetry_space_group_name_H-M 'I 4/m c m'
_symmetry_Int_Tables_number 140
_symmetry_space_group_name_Hall '-I 4 2c'
_cell_length_a 8.153
_cell_length_b 8.153
_cell_length_c 14.646
_cell_angle_alpha 90.00
_cell_angle_beta 90.00
_cell_angle_gamma 90.00
loop_
_atom_site_label
_atom_site_fract_x
_atom_site_fract_y
_atom_site_fract_z
_atom_site_occupancy
Pr1 0.000 0.000 0.000 1
Pr2 0.168 0.332 0.145 1
Ga1 0.122 0.378 0.500 1
Pb1 0.000 0.000 0.250 1
# Magnetic moment (μB/cell): 0.2
# E_tot (eV/atom): -4.686

=====

No. 14
# GGA-PBE PrGaPbS3, relaxed
data_PrGaPbS3
_symmetry_space_group_name_H-M 'C m c m'
_symmetry_Int_Tables_number 63
_symmetry_space_group_name_Hall '-C 2c 2'
_cell_length_a 4.237
_cell_length_b 14.142
_cell_length_c 10.017
_cell_angle_alpha 90.00
_cell_angle_beta 90.00
_cell_angle_gamma 90.00
loop_
_atom_site_label
_atom_site_fract_x
_atom_site_fract_y
_atom_site_fract_z
_atom_site_occupancy
Pr1 0.000 0.000 0.000 1
Ga1 0.000 0.452 0.250 1
Pb1 0.000 0.267 0.750 1
S1 0.000 0.103 0.250 1
S2 0.000 0.360 0.044 1
# Magnetic moment (μB/cell): 0.0
# E_tot (eV/atom): -4.844

=====

No. 15
# GGA-PBE PrGaTe3Pb, relaxed
data_PrGaTe3Pb
_symmetry_space_group_name_H-M 'C m c m'
_symmetry_Int_Tables_number 63
_symmetry_space_group_name_Hall '-C 2c 2'
_cell_length_a 4.541
_cell_length_b 15.225
_cell_length_c 11.183
_cell_angle_alpha 90.00
_cell_angle_beta 90.00
_cell_angle_gamma 90.00
loop_
_atom_site_label
_atom_site_fract_x
_atom_site_fract_y
_atom_site_fract_z
_atom_site_occupancy
Pr1 0.000 0.000 0.000 1
Ga1 0.000 0.476 0.250 1
Te1 0.000 0.107 0.250 1
Te2 0.000 0.352 0.050 1
Pb1 0.000 0.239 0.750 1
# Magnetic moment (μB/cell): 0.1
# E_tot (eV/atom): -4.108

=====

No. 16
# GGA-PBE TbGaPbS3, relaxed
data_TbGaPbS3
_symmetry_space_group_name_H-M 'C m c m'
_symmetry_Int_Tables_number 63
_symmetry_space_group_name_Hall '-C 2c 2'
_cell_length_a 3.970
_cell_length_b 14.749
_cell_length_c 10.688
_cell_angle_alpha 90.00
_cell_angle_beta 90.00
_cell_angle_gamma 90.00
loop_
_atom_site_label
_atom_site_fract_x
_atom_site_fract_y
_atom_site_fract_z
_atom_site_occupancy
Tb1 0.000 0.000 0.000 1
Ga1 0.000 0.364 0.250 1
Pb1 0.000 0.295 0.750 1
S1 0.000 0.033 0.750 1
S2 0.000 0.372 0.511 1
# Magnetic moment (μB/cell): 0.0
# E_tot (eV/atom): -4.948

=====

No. 17
# GGA-PBE ZrGaPbS3, relaxed
data_ZrGaPbS3
_symmetry_space_group_name_H-M 'C m c m'
_symmetry_Int_Tables_number 63
_symmetry_space_group_name_Hall '-C 2c 2'
_cell_length_a 3.713
_cell_length_b 15.033
_cell_length_c 9.372
_cell_angle_alpha 90.00
_cell_angle_beta 90.00
_cell_angle_gamma 90.00
loop_
_atom_site_label
_atom_site_fract_x
_atom_site_fract_y
_atom_site_fract_z
_atom_site_occupancy
Zr1 0.000 0.000 0.000 1
Ga1 0.000 0.459 0.250 1
Pb1 0.000 0.267 0.750 1
S1 0.000 0.090 0.250 1
S2 0.000 0.372 0.032 1
# Magnetic moment (μB/cell): 0.0
# E_tot (eV/atom): -5.260

=====

No. 18
# GGA-PBE TbGaPbSe3, relaxed
data_TbGaPbSe3
_symmetry_space_group_name_H-M 'C m c m'
_symmetry_Int_Tables_number 63
_symmetry_space_group_name_Hall '-C 2c 2'
_cell_length_a 4.313
_cell_length_b 14.076
_cell_length_c 10.615
_cell_angle_alpha 90.00
_cell_angle_beta 90.00
_cell_angle_gamma 90.00
loop_
_atom_site_label
_atom_site_fract_x
_atom_site_fract_y
_atom_site_fract_z
_atom_site_occupancy
Tb1 0.000 0.000 0.000 1
Ga1 0.000 0.458 0.250 1
Pb1 0.000 0.263 0.750 1
Se1 0.000 0.089 0.250 1
Se2 0.000 0.359 0.036 1
# Magnetic moment (μB/cell): 0.0
# E_tot (eV/atom): -4.479

=====

No. 19
# GGA-PBE TmGaPbSe3, relaxed
data_TmGaPbSe3
_symmetry_space_group_name_H-M 'C m c m'
_symmetry_Int_Tables_number 63
_symmetry_space_group_name_Hall '-C 2c 2'
_cell_length_a 4.081
_cell_length_b 15.194
_cell_length_c 11.104
_cell_angle_alpha 90.00
_cell_angle_beta 90.00
_cell_angle_gamma 90.00
loop_
_atom_site_label
_atom_site_fract_x
_atom_site_fract_y
_atom_site_fract_z
_atom_site_occupancy
Tm1 0.000 0.000 0.000 1
Ga1 0.000 0.362 0.250 1
Pb1 0.000 0.289 0.750 1
Se1 0.000 0.031 0.750 1
Se2 0.000 0.372 0.514 1
# Magnetic moment (μB/cell): 0.0
# E_tot (eV/atom): -4.519

=====

No. 20
# GGA-PBE GaTcPb2, relaxed
data_GaTcPb2
_symmetry_space_group_name_H-M 'F -4 3 m'
_symmetry_Int_Tables_number 216
_symmetry_space_group_name_Hall 'F -4 2 3'
_cell_length_a 7.097
_cell_length_b 7.097
_cell_length_c 7.097
_cell_angle_alpha 90.00
_cell_angle_beta 90.00
_cell_angle_gamma 90.00
loop_
_atom_site_label
_atom_site_fract_x
_atom_site_fract_y
_atom_site_fract_z
_atom_site_occupancy
Ga1 0.000 0.000 0.000 1
Tc1 0.250 0.250 0.750 1
Pb1 0.000 0.000 0.500 1
Pb2 0.250 0.250 0.250 1
# Magnetic moment (μB/cell): 7.4
# E_tot (eV/atom): -4.480